The following is a GGA-PBE calculation of crystalline RbZnBiC2 at its relaxed geometry, from the Alexandria database.

The value obtained for the energy relative to the elements is 2.134 eV/atom. The calculation puts the calculated density at 5.79 g cm⁻³.

The space group is P4/mmm (No. 123) and the conventional cell measures 4.551, 4.551 and 5.314 Å, with angles of 90.00, 90.00 and 90.00 degrees. The distinct sites, in fractional coordinates, are Rb at (0.000, 0.000, 0.000), Zn at (0.500, 0.500, 0.500), Bi at (0.500, 0.500, 0.000) and C at (0.000, 0.500, 0.500).

***

The following is a GGA-PBE calculation of crystalline ReBi2C at its relaxed geometry, from the Alexandria database.

The value obtained for the energy relative to the elements is 1.724 eV/atom. The calculation puts the calculated density at 10.65 g cm⁻³.

The space group is I-42d (No. 122) and the conventional cell measures 6.097, 6.097 and 10.341 Å, with angles of 90.00, 90.00 and 90.00 degrees. The distinct sites, in fractional coordinates, are Re at (0.000, 0.000, 0.000), Bi at (0.202, 0.250, 0.625) and C at (0.000, 0.000, 0.500).

***

The following is a GGA-PBE calculation of crystalline ReBiRhC2 at its relaxed geometry, from the Alexandria database.

The value obtained for the energy relative to the elements is 1.480 eV/atom. The calculation puts the calculated density at 9.68 g cm⁻³.

The space group is P4/mmm (No. 123) and the conventional cell measures 3.967, 3.967 and 5.691 Å, with angles of 90.00, 90.00 and 90.00 degrees. The distinct sites, in fractional coordinates, are Re at (0.000, 0.000, 0.000), Bi at (0.000, 0.000, 0.500), Rh at (0.500, 0.500, 0.500) and C at (0.000, 0.500, 0.000).

***

The following is a GGA-PBE calculation of crystalline ReSnBiC2 at its relaxed geometry, from the Alexandria database.

The value obtained for the energy relative to the elements is 1.359 eV/atom. The calculation puts the calculated density at 9.39 g cm⁻³.

The space group is P4/mmm (No. 123) and the conventional cell measures 4.125, 4.125 and 5.594 Å, with angles of 90.00, 90.00 and 90.00 degrees. The distinct sites, in fractional coordinates, are Re at (0.000, 0.000, 0.000), Sn at (0.000, 0.000, 0.500), Bi at (0.500, 0.500, 0.500) and C at (0.000, 0.500, 0.000).

***

The following is a GGA-PBE calculation of crystalline SrReBi2C at its relaxed geometry, from the Alexandria database.

The value obtained for the energy relative to the elements is 3.131 eV/atom. The calculation puts the calculated density at 5.32 g cm⁻³.

The space group is P4/mmm (No. 123) and the conventional cell measures 6.170, 6.170 and 5.775 Å, with angles of 90.00, 90.00 and 90.00 degrees. The distinct sites, in fractional coordinates, are Sr at (0.000, 0.000, 0.000), Re at (0.000, 0.000, 0.500), Bi at (0.000, 0.500, 0.000) and C at (0.500, 0.500, 0.500).

***

The following is a GGA-PBE calculation of crystalline BiRh3C at its relaxed geometry, from the Alexandria database.

The value obtained for the energy relative to the elements is 0.199 eV/atom. The value obtained for the excess energy over the best structure of this formula in the dataset is 0.0 meV/atom. The calculation puts the calculated density at 11.63 g cm⁻³.

The space group is Pm-3m (No. 221) and the conventional cell measures 4.229, 4.229 and 4.229 Å, with angles of 90.00, 90.00 and 90.00 degrees. The distinct sites, in fractional coordinates, are Bi at (0.000, 0.000, 0.000), Rh at (0.000, 0.500, 0.500) and C at (0.500, 0.500, 0.500).

***

The following is a GGA-PBE calculation of crystalline BiRhC3 at its relaxed geometry, from the Alexandria database.

The value obtained for the energy relative to the elements is 3.595 eV/atom. The value obtained for the excess energy over the best structure of this formula in the dataset is 1453.8 meV/atom. The calculation puts the calculated density at 6.84 g cm⁻³.

The space group is Pm-3m (No. 221) and the conventional cell measures 4.388, 4.388 and 4.388 Å, with angles of 90.00, 90.00 and 90.00 degrees. The distinct sites, in fractional coordinates, are Bi at (0.000, 0.000, 0.000), Rh at (0.500, 0.500, 0.500) and C at (0.000, 0.000, 0.500).

***

The following is a GGA-PBE calculation of crystalline Bi3RhC at its relaxed geometry, from the Alexandria database.

The value obtained for the energy relative to the elements is 1.091 eV/atom. The value obtained for the excess energy over the best structure of this formula in the dataset is 0.0 meV/atom. The calculation puts the calculated density at 10.65 g cm⁻³.

The space group is Pm-3m (No. 221) and the conventional cell measures 4.873, 4.873 and 4.873 Å, with angles of 90.00, 90.00 and 90.00 degrees. The distinct sites, in fractional coordinates, are Bi at (0.000, 0.000, 0.500), Rh at (0.500, 0.500, 0.500) and C at (0.000, 0.000, 0.000).

***

Q: Look up the calculated density of the eighth one.
A: 10.65 g cm⁻³